HfTl2OsO6 after structural relaxation. Source: Alexandria via LeMat-Bulk, functional PBE.

The space group is R-3m (No. 166, hexagonal axes) and the conventional cell measures 5.9880, 5.9880 and 28.8789 Å, with angles of 90.00, 90.00 and 120.00 degrees. The inequivalent atoms are Hf at (0.0000, 0.0000, 0.0988), Tl at (0.0000, 0.0000, 0.2243), Tl at (0.0000, 0.0000, 0.3659), Os at (0.0000, 0.0000, 0.0000), Os at (0.0000, 0.0000, 0.5000), O at (0.0190, 0.5095, 0.2040) and O at (0.0436, 0.5218, 0.6244).

For the uncorrected formation energy, the calculation gives -1.564 eV/atom. For the total energy, the calculation gives -7.13 eV/atom. The value obtained for the density of states at the Fermi level is 0.538 states/eV per atom.